DFT (PBE with a Hubbard U) results for a relaxed structure of PuNbNiO6.

Summary:
* total DFT energy (no corrections): -0.3110 hartree per atom
* symmetry: P-31c
* total magnetization: 5.0 μB per formula unit

a b c (Å): 5.447 5.447 8.844
angles (deg): 90.00 90.00 120.00
Atoms (fractional coordinates):
Pu 0.333 0.667 0.250
Pu 0.667 0.333 0.750
Nb 0.333 0.667 0.750
Nb 0.667 0.333 0.250
Ni 0.000 0.000 0.000
Ni 0.000 0.000 0.500
O 0.016 0.350 0.630
O 0.016 0.665 0.870
O 0.335 0.350 0.870
O 0.335 0.984 0.630
O 0.350 0.016 0.130
O 0.350 0.335 0.370
O 0.650 0.665 0.630
O 0.650 0.984 0.870
O 0.665 0.016 0.370
O 0.665 0.650 0.130
O 0.984 0.335 0.130
O 0.984 0.650 0.370